Entry 1:
Material: Zr3Zn3N
Method: DFT, PBE
State: optimized geometry

Mass density (g cm⁻³): 7.16

Unit cell a=8.5937 b=8.5937 c=8.5937 alpha=120.00 beta=90.00 gamma=120.00
With the nearest neighbours (Å) after each atom.
Fractional positions:
Zr 0.6870 0.0000 0.6870  2 N 2.28
Zr 0.3130 0.0000 0.6870  2 N 2.28
Zr 0.4370 0.5000 0.5630  2 N 2.28
Zr 0.0630 0.5000 0.5630  2 N 2.28
Zr 0.0630 0.1260 0.5630  2 N 2.28
Zr 0.6870 0.0000 0.3130  2 N 2.28
Zr 0.3130 0.6260 0.3130  2 N 2.28
Zr 0.4370 0.8740 0.9370  2 N 2.28
Zr 0.0630 0.5000 0.9370  2 N 2.28
Zr 0.3130 0.0000 0.3130  2 N 2.28
Zr 0.6870 0.3740 0.6870  2 N 2.28
Zr 0.4370 0.5000 0.9370  2 N 2.28
Zn 0.0811 0.8377 0.9189  6 Zn 2.62-2.79, 3 Zr 2.91
Zn 0.6689 0.3377 0.3311  6 Zn 2.62-2.79, 3 Zr 2.91
Zn 0.8750 0.7500 0.1250  6 Zn 2.62
Zn 0.8750 0.2500 0.1250  6 Zn 2.62
Zn 0.6689 0.3377 0.0066  6 Zn 2.62-2.79, 3 Zr 2.91
Zn 0.3750 0.2500 0.1250  6 Zn 2.62
Zn 0.0811 0.1623 0.9189  6 Zn 2.62-2.79, 3 Zr 2.91
Zn 0.7566 0.8377 0.9189  6 Zn 2.62-2.79, 3 Zr 2.91
Zn 0.0811 0.1623 0.2434  6 Zn 2.62-2.79, 3 Zr 2.91
Zn 0.9934 0.6623 0.3311  6 Zn 2.62-2.79, 3 Zr 2.91
Zn 0.6689 0.6623 0.3311  6 Zn 2.62-2.79, 3 Zr 2.91
Zn 0.8750 0.7500 0.6250  6 Zn 2.62
N 0.8750 0.2500 0.6250  6 Zr 2.28
N 0.3750 0.2500 0.6250  6 Zr 2.28
N 0.3750 0.7500 0.1250  6 Zr 2.28
N 0.3750 0.7500 0.6250  6 Zr 2.28

Entry 2:
Material: Zr15N16
Method: DFT, PBE
State: optimized geometry

Mass density (g cm⁻³): 6.85

Unit cell a=5.6218 b=8.5750 c=8.5752 alpha=106.51 beta=102.68 gamma=90.07
With the nearest neighbours (Å) after each atom.
Fractional positions:
N 0.2460 0.5001 0.7459  5 Zr 2.22-2.30
N 0.7540 0.4999 0.2541  5 Zr 2.22-2.30
N 0.6889 0.3753 0.5627  6 Zr 2.27-2.37
N 0.5579 0.1234 0.1877  6 Zr 2.26-2.35
N 0.4421 0.8766 0.8123  6 Zr 2.26-2.35
N 0.6302 0.2422 0.8712  5 Zr 2.23-2.28
N 0.0619 0.1255 0.6882  6 Zr 2.28-2.32
N 0.9381 0.8745 0.3118  6 Zr 2.28-2.32
N 0.8250 0.6290 0.9356  5 Zr 2.23-2.27
N 0.3698 0.7578 0.1288  5 Zr 2.23-2.28
N 0.1222 0.2536 0.3763  6 Zr 2.26-2.36
N 0.3111 0.6247 0.4373  6 Zr 2.27-2.37
N 0.8778 0.7464 0.6237  6 Zr 2.26-2.36
N 0.1750 0.3710 0.0644  5 Zr 2.23-2.27
N 0.5000 0.0000 0.5000  6 Zr 2.28-2.36
N 0.0000 0.0000 0.0000  6 Zr 2.27-2.37
Zr 0.0000 0.5000 0.5000  6 N 2.25-2.29
Zr 0.1434 0.7451 0.8763  6 N 2.22-2.37
Zr 0.6215 0.7435 0.3649  6 N 2.24-2.36
Zr 0.0596 0.6220 0.1797  6 N 2.23-2.34
Zr 0.3138 0.1325 0.9387  6 N 2.25-2.35
Zr 0.2454 0.0061 0.2510  6 N 2.26-2.31
Zr 0.5694 0.6218 0.6945  6 N 2.23-2.37
Zr 0.8104 0.1264 0.4390  6 N 2.28-2.32
Zr 0.1896 0.8736 0.5610  6 N 2.28-2.32
Zr 0.7546 0.9939 0.7490  6 N 2.26-2.31
Zr 0.3785 0.2565 0.6351  6 N 2.24-2.36
Zr 0.8566 0.2549 0.1237  6 N 2.22-2.37
Zr 0.9404 0.3780 0.8203  6 N 2.23-2.34
Zr 0.4306 0.3782 0.3055  6 N 2.23-2.37
Zr 0.6862 0.8675 0.0613  6 N 2.25-2.35

Entry 3:
Material: ZrN
Method: DFT, PBE
State: optimized geometry

Mass density (g cm⁻³): 7.60

Unit cell a=2.8437 b=2.8437 c=2.8437 alpha=90.00 beta=90.00 gamma=90.00
With the nearest neighbours (Å) after each atom.
Fractional positions:
Zr 0.0000 0.0000 0.0000  8 N 2.46
N 0.5000 0.5000 0.5000  8 Zr 2.46

Entry 4:
Material: Zr6N5
Method: DFT, PBE
State: optimized geometry

Mass density (g cm⁻³): 6.99

Unit cell a=5.6383 b=5.6383 c=5.6420 alpha=99.67 beta=99.67 gamma=119.83
With the nearest neighbours (Å) after each atom.
Fractional positions:
Zr 0.5717 0.9173 0.7468  5 N 2.24-2.32
Zr 0.0827 0.4283 0.2532  5 N 2.24-2.32
Zr 0.7410 0.7410 0.2586  5 N 2.23-2.30
Zr 0.4283 0.0827 0.2532  5 N 2.24-2.32
Zr 0.2590 0.2590 0.7414  5 N 2.23-2.30
Zr 0.9173 0.5717 0.7468  5 N 2.24-2.32
N 0.3351 0.6649 0.0000  6 Zr 2.29-2.30
N 0.5000 0.5000 0.5000  6 Zr 2.23-2.32
N 0.8339 0.1661 0.5000  6 Zr 2.24-2.32
N 0.6649 0.3351 0.0000  6 Zr 2.29-2.30
N 0.1661 0.8339 0.5000  6 Zr 2.24-2.32

Entry 5:
Material: Zr4N5
Method: DFT, PBE
State: optimized geometry

Mass density (g cm⁻³): 6.03

Unit cell a=5.6291 b=5.6291 c=8.1265 alpha=120.70 beta=120.70 gamma=33.33
With the nearest neighbours (Å) after each atom.
Fractional positions:
N 0.3788 0.3788 0.1210  4 Zr 2.12-2.20
N 0.8020 0.8020 0.6891  5 Zr 2.27-2.32
N 0.1980 0.1980 0.3109  5 Zr 2.27-2.32
N 0.0000 0.0000 0.5000  6 Zr 2.30-2.44
N 0.6212 0.6212 0.8790  4 Zr 2.12-2.20
Zr 0.5867 0.5867 0.3848  6 N 2.12-2.32
Zr 0.4133 0.4133 0.6152  6 N 2.12-2.32
Zr 0.7709 0.7709 0.1838  5 N 2.12-2.27
Zr 0.2291 0.2291 0.8162  5 N 2.12-2.27

Entry 6:
Material: Zr8N7
Method: DFT, PBE
State: optimized geometry

Mass density (g cm⁻³): 7.05

Unit cell a=6.5165 b=6.5165 c=5.6288 alpha=106.95 beta=106.95 gamma=60.03
With the nearest neighbours (Å) after each atom.
Fractional positions:
N 0.5000 0.0000 0.5000  6 Zr 2.30-2.31
N 0.7508 0.7508 0.0010  6 Zr 2.24-2.31
N 0.2492 0.2492 0.9990  6 Zr 2.24-2.31
N 0.7506 0.2494 0.0000  6 Zr 2.30
N 0.0000 0.5000 0.5000  6 Zr 2.30-2.31
N 0.2494 0.7506 0.0000  6 Zr 2.30
N 0.0000 0.0000 0.5000  6 Zr 2.30-2.31
Zr 0.3714 0.8834 0.7561  5 N 2.24-2.31
Zr 0.6278 0.6278 0.2417  5 N 2.24-2.31
Zr 0.3722 0.3722 0.7583  5 N 2.24-2.31
Zr 0.8751 0.8751 0.7507  6 N 2.30-2.31
Zr 0.1166 0.6286 0.2439  5 N 2.24-2.31
Zr 0.6286 0.1166 0.2439  5 N 2.24-2.31
Zr 0.8834 0.3714 0.7561  5 N 2.24-2.31
Zr 0.1249 0.1249 0.2493  6 N 2.30-2.31

Entry 7:
Material: ZrN
Method: DFT, PBE
State: optimized geometry

Mass density (g cm⁻³): 5.69

Unit cell a=3.5155 b=3.5155 c=3.5155 alpha=60.00 beta=60.00 gamma=60.00
With the nearest neighbours (Å) after each atom.
Fractional positions:
N 0.0000 0.0000 0.0000  4 Zr 2.15
Zr 0.2500 0.2500 0.2500  4 N 2.15

Entry 8:
Material: Zr5N
Method: DFT, PBE
State: optimized geometry

Mass density (g cm⁻³): 5.51

Unit cell a=5.5976 b=5.5976 c=5.2214 alpha=90.00 beta=90.00 gamma=120.00
With the nearest neighbours (Å) after each atom.
Fractional positions:
Zr 0.5000 0.5000 0.5000  8 Zr 2.80-3.07
Zr 0.3333 0.6667 0.0000  9 Zr 3.07-3.23, 3 N 3.23
Zr 0.5000 0.0000 0.5000  8 Zr 2.80-3.07
Zr 0.6667 0.3333 0.0000  9 Zr 3.07-3.23, 3 N 3.23
Zr 0.0000 0.5000 0.5000  8 Zr 2.80-3.07
N 0.0000 0.0000 0.0000  6 Zr 3.23

Entry 9:
Material: ZrN
Method: DFT, PBE
State: optimized geometry

Mass density (g cm⁻³): 7.02

Unit cell a=3.1344 b=3.1344 c=2.9244 alpha=90.00 beta=90.00 gamma=120.00
With the nearest neighbours (Å) after each atom.
Fractional positions:
N 0.6667 0.3333 0.7500  6 Zr 2.33
Zr 0.3333 0.6667 0.2500  6 N 2.33

Entry 10:
Material: ZrN
Method: DFT, PBE
State: optimized geometry

Mass density (g cm⁻³): 6.07

Unit cell a=6.0191 b=3.3274 c=5.7507 alpha=90.00 beta=90.00 gamma=90.00
With the nearest neighbours (Å) after each atom.
Fractional positions:
N 0.7500 0.5000 0.1977  2 Zr 2.05
N 0.2500 0.5000 0.8023  2 Zr 2.05
N 0.2500 0.0000 0.3853  5 Zr 2.15-2.34
N 0.7500 0.0000 0.6147  5 Zr 2.15-2.34
Zr 0.0000 0.5000 0.5000  6 N 2.30-2.34
Zr 0.7500 0.0000 0.9893  3 N 2.05-2.15
Zr 0.2500 0.0000 0.0107  3 N 2.05-2.15
Zr 0.5000 0.5000 0.5000  6 N 2.30-2.34

Entry 11:
Material: Zr7N8
Method: DFT, PBE
State: optimized geometry

Mass density (g cm⁻³): 6.52

Unit cell a=5.5871 b=5.6050 c=6.4809 alpha=90.00 beta=73.10 gamma=80.29
With the nearest neighbours (Å) after each atom.
Fractional positions:
N 0.2580 0.1091 0.4370  5 Zr 2.22-2.29
N 0.7420 0.8909 0.5630  5 Zr 2.22-2.29
N 0.7510 0.8769 0.0650  6 Zr 2.26-2.34
N 0.2590 0.6349 0.6950  5 Zr 2.23-2.30
N 0.2620 0.6300 0.1741  5 Zr 2.24-2.30
N 0.7410 0.3651 0.3050  5 Zr 2.23-2.30
N 0.7380 0.3700 0.8259  5 Zr 2.24-2.30
N 0.2490 0.1231 0.9350  6 Zr 2.26-2.34
Zr 0.4930 0.2640 0.6231  6 N 2.23-2.31
Zr 0.5070 0.7360 0.3769  6 N 2.23-2.31
Zr 0.0000 0.5000 0.0000  6 N 2.29-2.30
Zr 0.5200 0.7492 0.8669  6 N 2.23-2.33
Zr 0.0042 0.0010 0.7421  6 N 2.22-2.34
Zr 0.9958 0.9990 0.2579  6 N 2.22-2.34
Zr 0.4800 0.2508 0.1331  6 N 2.23-2.33

Entry 12:
Material: ZrN
Method: DFT, PBE
State: optimized geometry

Mass density (g cm⁻³): 7.18

Unit cell a=3.2533 b=3.2533 c=3.2533 alpha=60.00 beta=60.00 gamma=60.00
With the nearest neighbours (Å) after each atom.
Fractional positions:
Zr 0.5000 0.5000 0.5000  6 N 2.30
N 0.0000 0.0000 0.0000  6 Zr 2.30

Entry 13:
Material: NaNb
Method: DFT, PBE
State: optimized geometry

Mass density (g cm⁻³): 4.61

Unit cell a=2.8496 b=2.8495 c=5.9376 alpha=90.00 beta=90.00 gamma=120.00
With the nearest neighbours (Å) after each atom.
Fractional positions:
Nb 0.3333 0.6667 0.2500  6 Nb 2.85
Na 0.6667 0.3333 0.7500  6 Na 2.85

Entry 14:
Material: NaNb
Method: DFT, PBE
State: optimized geometry

Mass density (g cm⁻³): 2.45

Unit cell a=4.8069 b=4.8069 c=4.8069 alpha=60.00 beta=60.00 gamma=60.00
With the nearest neighbours (Å) after each atom.
Fractional positions:
Nb 0.2500 0.2500 0.2500  4 Na 2.94
Na 0.0000 0.0000 0.0000  4 Nb 2.94

Entry 15:
Material: NaNb
Method: DFT, PBE
State: optimized geometry

Mass density (g cm⁻³): 4.18

Unit cell a=4.0219 b=4.0219 c=4.0219 alpha=60.00 beta=60.00 gamma=60.00
With the nearest neighbours (Å) after each atom.
Fractional positions:
Na 0.0000 0.0000 0.0000  6 Nb 2.84
Nb 0.5000 0.5000 0.5000  6 Na 2.84

Entry 16:
Material: NaNdNb
Method: DFT, PBE
State: optimized geometry

Mass density (g cm⁻³): 4.49

Unit cell a=5.1429 b=5.1429 c=5.1429 alpha=60.00 beta=60.00 gamma=60.00
With the nearest neighbours (Å) after each atom.
Fractional positions:
Na 0.2500 0.2500 0.2500  4 Nb 3.15
Nd 0.7500 0.7500 0.7500  4 Nb 3.15
Nb 0.0000 0.0000 0.0000  4 Na 3.15, 4 Nd 3.15

Entry 17:
Material: NaNbNiSe3
Method: DFT, PBE
State: optimized geometry

Mass density (g cm⁻³): 5.68

Unit cell a=7.3253 b=7.3253 c=9.6436 alpha=90.00 beta=90.00 gamma=152.28
With the nearest neighbours (Å) after each atom.
Fractional positions:
Ni 0.9701 0.0299 0.2500  4 Se 2.33-2.36
Ni 0.0299 0.9701 0.7500  4 Se 2.33-2.36
Na 0.2519 0.7481 0.2500  6 Se 3.00-3.03
Na 0.7481 0.2519 0.7500  6 Se 3.00-3.03
Se 0.1316 0.8684 0.9393  1 Ni 2.33
Se 0.8684 0.1316 0.0607  1 Ni 2.33
Se 0.8684 0.1316 0.4393  1 Ni 2.33
Se 0.4192 0.5808 0.7500  2 Ni 2.36
Se 0.1316 0.8684 0.5607  1 Ni 2.33
Se 0.5808 0.4192 0.2500  2 Ni 2.36
Nb 0.5000 0.5000 0.0000  6 Se 2.63-2.67
Nb 0.5000 0.5000 0.5000  6 Se 2.63-2.67

Entry 18:
Material: NaNbNiSe3
Method: DFT, PBE
State: optimized geometry

Mass density (g cm⁻³): 5.46

Unit cell a=7.7265 b=3.6245 c=9.5411 alpha=90.00 beta=110.48 gamma=90.00
With the nearest neighbours (Å) after each atom.
Fractional positions:
Se 0.5643 0.7500 0.3719  3 Nb 2.70-2.76, 2 Na 2.98
Se 0.4357 0.2500 0.6281  3 Nb 2.70-2.76, 2 Na 2.98
Se 0.0663 0.7500 0.3503  1 Ni 2.38, 2 Nb 2.59
Se 0.2483 0.2500 0.0437  3 Ni 2.40-2.47, 1 Nb 2.54
Se 0.9337 0.2500 0.6497  1 Ni 2.38, 2 Nb 2.59
Se 0.7517 0.7500 0.9563  3 Ni 2.40-2.47, 1 Nb 2.54
Ni 0.0856 0.7500 0.1070  4 Se 2.38-2.47
Ni 0.9144 0.2500 0.8930  4 Se 2.38-2.47
Nb 0.7095 0.7500 0.6805  6 Se 2.54-2.76, 2 Ni 2.77
Nb 0.2905 0.2500 0.3195  6 Se 2.54-2.76, 2 Ni 2.77
Na 0.7325 0.2500 0.2072  6 Se 2.98-3.06
Na 0.2675 0.7500 0.7928  6 Se 2.98-3.06

Entry 19:
Material: NaNbNiTe3
Method: DFT, PBE
State: optimized geometry

Mass density (g cm⁻³): 6.33

Unit cell a=7.8937 b=7.8937 c=10.2965 alpha=90.00 beta=90.00 gamma=152.89
With the nearest neighbours (Å) after each atom.
Fractional positions:
Na 0.2532 0.7468 0.7500  6 Te 3.21
Na 0.7468 0.2532 0.2500  6 Te 3.21
Te 0.8676 0.1324 0.9387  1 Ni 2.50
Te 0.1324 0.8676 0.0613  1 Ni 2.50
Te 0.8676 0.1324 0.5613  1 Ni 2.50
Te 0.5824 0.4176 0.7500  2 Ni 2.53
Te 0.4176 0.5824 0.2500  2 Ni 2.53
Te 0.1324 0.8676 0.4387  1 Ni 2.50
Nb 0.5000 0.5000 0.5000  6 Te 2.82-2.87
Nb 0.5000 0.5000 0.0000  6 Te 2.82-2.87
Ni 0.0297 0.9703 0.2500  4 Te 2.50-2.53
Ni 0.9703 0.0297 0.7500  4 Te 2.50-2.53

Entry 20:
Material: NaNbZnNi
Method: DFT, PBE
State: optimized geometry

Mass density (g cm⁻³): 6.67

Unit cell a=4.3881 b=4.3881 c=4.3881 alpha=60.00 beta=60.00 gamma=60.00
With the nearest neighbours (Å) after each atom.
Fractional positions:
Nb 0.5000 0.5000 0.5000  4 Ni 2.69, 4 Na 2.69
Na 0.7500 0.7500 0.7500  4 Zn 2.69, 4 Nb 2.69
Ni 0.2500 0.2500 0.2500  4 Nb 2.69, 4 Zn 2.69
Zn 0.0000 0.0000 0.0000  4 Na 2.69, 4 Ni 2.69

| no. | electronic total energy (eV/atom) |
| --- | --- |
| 1 | -6.142 |
| 2 | -10.080 |
| 3 | -9.232 |
| 4 | -10.026 |
| 5 | -9.968 |
| 6 | -10.052 |
| 7 | -9.799 |
| 8 | -7.040 |
| 9 | -9.750 |
| 10 | -9.568 |
| 11 | -10.037 |
| 12 | -10.119 |
| 13 | -5.006 |
| 14 | -2.797 |
| 15 | -3.506 |
| 16 | -4.048 |
| 17 | -5.340 |
| 18 | -5.379 |
| 19 | -4.867 |
| 20 | -4.207 |